1:
{
  "formula": "Cr2FeMo",
  "functional": "GGA-PBE",
  "state": "optimized geometry",
  "n_ef_per_ev_atom": 1.01,
  "spacegroup": "Imm2 (44)",
  "lattice_angstrom": [[-1.496, 2.081, 4.067], [1.496, -2.081, 4.067], [1.496, 2.081, -4.067]],
  "species": ["Cr", "Cr", "Fe", "Mo"],
  "frac_coords": [[0.000, 0.000, 0.000], [0.764, 0.264, 0.500], [0.512, 0.512, 0.000], [0.253, 0.753, 0.500]]
}



2:
{
  "formula": "Cr2FeMo",
  "functional": "GGA-PBE",
  "state": "optimized geometry",
  "n_ef_per_ev_atom": 0.95,
  "spacegroup": "Pm (6)",
  "lattice_angstrom": [[2.532, 0.000, 0.000], [0.000, 4.127, 0.000], [-0.864, 0.000, 4.853]],
  "species": ["Cr", "Cr", "Fe", "Mo"],
  "frac_coords": [[0.000, 0.000, 0.000], [0.235, 0.500, 0.770], [0.742, 0.500, 0.244], [0.479, 0.000, 0.503]]
}



3:
{
  "formula": "Cr2FeMo",
  "functional": "GGA-PBE",
  "state": "optimized geometry",
  "n_ef_per_ev_atom": 1.18,
  "spacegroup": "I-42d (122)",
  "lattice_angstrom": [[-3.298, 3.298, 2.428], [3.298, -3.298, 2.428], [3.298, 3.298, -2.428]],
  "species": ["Cr", "Cr", "Cr", "Cr", "Fe", "Fe", "Mo", "Mo"],
  "frac_coords": [[0.099, 0.125, 0.474], [0.375, 0.901, 0.026], [0.651, 0.625, 0.526], [0.875, 0.349, 0.974], [0.000, 0.000, 0.000], [0.750, 0.250, 0.500], [0.250, 0.750, 0.500], [0.500, 0.500, 0.000]]
}



4:
{
  "formula": "Cr2FeMo",
  "functional": "GGA-PBE",
  "state": "optimized geometry",
  "n_ef_per_ev_atom": 1.51,
  "spacegroup": "I4/mmm (139)",
  "lattice_angstrom": [[-1.788, 1.788, 3.951], [1.788, -1.788, 3.951], [1.788, 1.788, -3.951]],
  "species": ["Cr", "Cr", "Fe", "Mo"],
  "frac_coords": [[0.250, 0.750, 0.500], [0.750, 0.250, 0.500], [0.000, 0.000, 0.000], [0.500, 0.500, 0.000]]
}



Stability comparison, relative energies in kJ/mol of atoms: 1 0.5; 2 0.0; 3 56.6; 4 15.8



1:
{
  "formula": "Cr3FeMo",
  "functional": "GGA-PBE",
  "state": "optimized geometry",
  "n_ef_per_ev_atom": 1.23,
  "spacegroup": "Pm-3m (221)",
  "lattice_angstrom": [[4.145, 0.000, 0.000], [0.000, 4.145, 0.000], [0.000, 0.000, 4.145]],
  "species": ["Cr", "Cr", "Cr", "Fe", "Mo"],
  "frac_coords": [[0.000, 0.000, 0.500], [0.000, 0.500, 0.000], [0.500, 0.000, 0.000], [0.000, 0.000, 0.000], [0.500, 0.500, 0.500]]
}



2:
{
  "formula": "Cr3FeMo",
  "functional": "GGA-PBE",
  "state": "optimized geometry",
  "n_ef_per_ev_atom": 1.87,
  "spacegroup": "Pm-3m (221)",
  "lattice_angstrom": [[4.586, 0.000, 0.000], [0.000, 4.586, 0.000], [0.000, 0.000, 4.586]],
  "species": ["Cr", "Cr", "Cr", "Fe", "Mo"],
  "frac_coords": [[0.000, 0.000, 0.500], [0.000, 0.500, 0.000], [0.500, 0.000, 0.000], [0.500, 0.500, 0.500], [0.000, 0.000, 0.000]]
}



Stability comparison, relative energies in kJ/mol of atoms: 1 0.0; 2 56.5